Ca8La: optimized geometry, PBE-GGA.

abc: 8.6167 8.6167 8.6167
angles: 96.17 96.17 141.72
Element x y z (fractional)
1 Ca 0.0000 0.3317 0.3317
2 Ca 0.0000 0.6683 0.6683
3 Ca 0.3317 0.0000 0.3317
4 Ca 0.3351 0.3351 0.6701
5 Ca 0.3351 0.6649 0.0000
6 Ca 0.6649 0.3351 0.0000
7 Ca 0.6649 0.6649 0.3299
8 Ca 0.6683 0.0000 0.6683
9 La 0.0000 0.0000 0.0000

Properties
Total DFT energy (no corrections): -20.549 eV for the cell shown
ρ: 2.0 g/cm³
Magnetization: 0.9 μB per formula unit
Energy of formation: 38 kJ/mol of formula units

=====

CaLa: optimized geometry, PBE-GGA.

abc: 7.5967 7.5967 7.5967
angles: 60.00 60.00 60.00
Element x y z (fractional)
1 Ca 0.0000 0.0000 0.0000
2 Ca 0.0000 0.0000 0.5000
3 Ca 0.0000 0.5000 0.0000
4 Ca 0.5000 0.0000 0.0000
5 La 0.0000 0.5000 0.5000
6 La 0.5000 0.0000 0.5000
7 La 0.5000 0.5000 0.0000
8 La 0.5000 0.5000 0.5000

Properties
Total DFT energy (no corrections): -27.269 eV for the cell shown
ρ: 3.8 g/cm³
Magnetization: 0.0 μB per formula unit
Distance to the lowest polymorph of the same formula: 34.7 meV/atom
Energy of formation: 11 kJ/mol of formula units

=====

CaLa: optimized geometry, PBE-GGA.

abc: 4.2902 4.2902 4.2902
angles: 90.00 90.00 90.00
Element x y z (fractional)
1 Ca 0.0000 0.0000 0.0000
2 La 0.5000 0.5000 0.5000

Properties
Total DFT energy (no corrections): -6.727 eV for the cell shown
ρ: 3.8 g/cm³
Magnetization: 0.0 μB per formula unit
Distance to the lowest polymorph of the same formula: 80.0 meV/atom
Energy of formation: 20 kJ/mol of formula units

=====

CaLa8: optimized geometry, PBE-GGA.

abc: 6.5034 6.5034 9.1493
angles: 90.05 90.05 120.01
Element x y z (fractional)
1 Ca 0.0000 0.0000 0.0000
2 La 0.0007 0.6567 0.3371
3 La 0.3325 0.6675 0.0000
4 La 0.3433 0.9993 0.6629
5 La 0.3444 0.3444 0.3368
6 La 0.6556 0.6556 0.6632
7 La 0.6567 0.0007 0.3371
8 La 0.6675 0.3325 0.0000
9 La 0.9993 0.3433 0.6629

Properties
Total DFT energy (no corrections): -41.174 eV for the cell shown
ρ: 5.7 g/cm³
Magnetization: 0.0 μB per formula unit
Distance to the lowest polymorph of the same formula: 6.1 meV/atom
Energy of formation: 24 kJ/mol of formula units

=====

What is the energy of formation in the first record? 38 kJ/mol of formula units

=====

Number 2 is which compound? CaLa

=====

Number 2 is which compound? CaLa